No. 1
Here is KYSe2 after structural relaxation from Alexandria. Energies are from PBE.

Lattice parameters (Å, degrees): 12.232 12.232 5.481 90.00 90.00 157.81
Positions (direct):
Y1 0.068 0.932 0.250
Y2 0.932 0.068 0.750
K1 0.315 0.685 0.250
K2 0.685 0.315 0.750
Se1 0.177 0.823 0.250
Se2 0.823 0.177 0.750
Se3 0.947 0.053 0.250
Se4 0.053 0.947 0.750

* total magnetization: 0.000 μB per formula unit
* ρ: 3.066 g cm⁻³
* symmetry: Cmcm, No. 63
* E_tot: -4.894 eV/atom

***

No. 2
Here is KYSe2 after structural relaxation from Alexandria. Energies are from PBE.

Lattice parameters (Å, degrees): 6.068 9.364 4.162 89.97 90.00 90.00
Positions (direct):
Y1 0.972 0.043 0.866
Y2 0.472 0.804 0.366
K1 0.472 0.317 0.367
K2 0.972 0.531 0.865
Se1 0.972 0.825 0.366
Se2 0.972 0.245 0.365
Se3 0.472 0.602 0.866
Se4 0.472 0.023 0.866

* total magnetization: 0.000 μB per formula unit
* ρ: 4.016 g cm⁻³
* symmetry: P2_1/m, No. 11
* E_tot: -5.348 eV/atom

***

No. 3
Here is K3YSe after structural relaxation from Alexandria. Energies are from PBE.

Lattice parameters (Å, degrees): 6.334 6.334 6.334 90.00 90.00 90.00
Positions (direct):
Y1 0.500 0.500 0.500
K1 0.000 0.500 0.000
K2 0.000 0.000 0.500
K3 0.500 0.000 0.000
Se1 0.000 0.000 0.000

* total magnetization: 1.937 μB per formula unit
* ρ: 1.863 g cm⁻³
* symmetry: Pm-3m, No. 221
* E_tot: -2.658 eV/atom